# 1
Here is a relaxed structure of Pu2NiH5 from the Alexandria database. Energies are from PBE.

Lattice parameters (Å, degrees): 4.9199 4.9199 7.0716 90.00 90.00 90.00
With the nearest neighbours (Å) after each atom.
Fractional coordinates of all 16 atoms:
Pu 0.0000 0.5000 0.0000  10 H 2.44-2.52
Pu 0.0000 0.5000 0.5000  10 H 2.44-2.52
Pu 0.5000 0.0000 0.0000  10 H 2.44-2.52
Pu 0.5000 0.0000 0.5000  10 H 2.44-2.52
Ni 0.0000 0.0000 0.2563  5 H 1.65-1.70
Ni 0.5000 0.5000 0.7563  5 H 1.65-1.70
H 0.0000 0.0000 0.4974  1 Ni 1.70
H 0.2369 0.2369 0.2423  1 Ni 1.65
H 0.2369 0.7631 0.2423  1 Ni 1.65
H 0.2631 0.2631 0.7423  1 Ni 1.65
H 0.2631 0.7369 0.7423  1 Ni 1.65
H 0.5000 0.5000 0.9974  1 Ni 1.70
H 0.7369 0.2631 0.7423  1 Ni 1.65
H 0.7369 0.7369 0.7423  1 Ni 1.65
H 0.7631 0.2369 0.2423  1 Ni 1.65
H 0.7631 0.7631 0.2423  1 Ni 1.65

Results
DOS(E_F) = 27.167 states/eV per cell
total DFT energy (no corrections) = -53.47 eV per formula unit
volume = 10.70 Å³/atom

=====

# 2
Here is a relaxed structure of Y2VSe from the Alexandria database. Energies are from PBE.

Lattice parameters (Å, degrees): 7.2238 7.2238 7.2238 90.00 90.00 90.00
With the nearest neighbours (Å) after each atom.
Fractional coordinates of all 16 atoms:
Y 0.2500 0.2500 0.2500  4 V 3.13, 4 Se 3.13
Y 0.2500 0.2500 0.7500  4 Se 3.13, 4 V 3.13
Y 0.2500 0.7500 0.2500  4 Se 3.13, 4 V 3.13
Y 0.2500 0.7500 0.7500  4 V 3.13, 4 Se 3.13
Y 0.7500 0.2500 0.2500  4 Se 3.13, 4 V 3.13
Y 0.7500 0.2500 0.7500  4 V 3.13, 4 Se 3.13
Y 0.7500 0.7500 0.2500  4 Se 3.13, 4 V 3.13
Y 0.7500 0.7500 0.7500  4 Se 3.13, 4 V 3.13
V 0.0000 0.0000 0.0000  8 Y 3.13
V 0.0000 0.5000 0.5000  8 Y 3.13
V 0.5000 0.0000 0.5000  8 Y 3.13
V 0.5000 0.5000 0.0000  8 Y 3.13
Se 0.0000 0.0000 0.5000  8 Y 3.13
Se 0.0000 0.5000 0.0000  8 Y 3.13
Se 0.5000 0.0000 0.0000  8 Y 3.13
Se 0.5000 0.5000 0.5000  8 Y 3.13

Results
DOS(E_F) = 15.636 states/eV per cell
volume = 23.56 Å³/atom
formation energy from raw total energies = -0.13 eV per atom